# Ba2MnZn2As2O2

Ba2MnZn2As2O2 after structural relaxation (PBE with a Hubbard U, Alexandria via LeMat-Bulk).

* raw total energy: -44.99 eV/f.u.
* space group: I4/mmm

```
Ba2MnZn2As2O2
1.0
-4.015 0.275 -1.484
0.984 -2.722 -3.165
-1.121 -6.384 8.046
Ba Mn Zn As O
2 1 2 2 2
Cartesian
-2.158 -6.228 4.685 Ba
-1.993 -2.602 -1.288 Ba
0.000 0.000 0.000 Mn
-3.325 -3.666 2.119 Zn
-0.826 -5.164 1.278 Zn
-3.231 -6.174 1.399 As
-0.921 -2.656 1.998 As
-2.007 0.137 -0.742 O
0.492 -1.361 -1.583 O
```